[1]
DFT (GGA-PBE) results for crystalline PaTcGeN at its relaxed geometry.

Properties
* magnetic moment: 0.39 μB per formula unit
* formation energy (no corrections): -0.90 eV/atom
* SG: P4/nmm (129)
* V: 66.3 Å³/f.u.
* electronic total energy: -9.10 eV/atom

Cell lengths 3.9632, 3.9632, 8.4460 Å; angles 90.00, 90.00, 90.00 degrees
Last column: nearest neighbours and their distance in Å.
Sites, in units of the cell vectors:
Pa  0.2500  0.2500  0.1379  4 N 2.30
Pa  0.7500  0.7500  0.8621  4 N 2.30
Tc  0.2500  0.7500  0.5000  4 Ge 2.53, 4 Tc 2.80
Tc  0.7500  0.2500  0.5000  4 Ge 2.53, 4 Tc 2.80
Ge  0.2500  0.2500  0.6868  4 Tc 2.53
Ge  0.7500  0.7500  0.3132  4 Tc 2.53
N  0.2500  0.7500  0.0000  4 Pa 2.30
N  0.7500  0.2500  0.0000  4 Pa 2.30

---

[2]
DFT (GGA-PBE) results for crystalline PaGeTe2N at its relaxed geometry.

Properties
* magnetic moment: 0.00 μB per formula unit
* formation energy (no corrections): -0.93 eV/atom
* SG: P4/nmm (129)
* V: 119.3 Å³/f.u.
* electronic total energy: -6.68 eV/atom

Cell lengths 4.0399, 4.0399, 14.6174 Å; angles 90.00, 90.00, 90.00 degrees
Last column: nearest neighbours and their distance in Å.
Sites, in units of the cell vectors:
Pa  0.2500  0.2500  0.0779  4 N 2.32
Pa  0.7500  0.7500  0.9221  4 N 2.32
Ge  0.2500  0.2500  0.5860  5 Te 2.84-2.87
Ge  0.7500  0.7500  0.4140  5 Te 2.84-2.87
Te  0.2500  0.2500  0.3920  5 Ge 2.84-2.87
Te  0.2500  0.2500  0.8073  1 Ge 3.23, 4 Pa 3.31, 4 N 3.47
Te  0.7500  0.7500  0.1927  1 Ge 3.23, 4 Pa 3.31, 4 N 3.47
Te  0.7500  0.7500  0.6080  5 Ge 2.84-2.87
N  0.2500  0.7500  0.0000  4 Pa 2.32
N  0.7500  0.2500  0.0000  4 Pa 2.32

---

[3]
DFT (GGA-PBE) results for crystalline ThPaGeN at its relaxed geometry.

Properties
* magnetic moment: 0.00 μB per formula unit
* formation energy (no corrections): -0.91 eV/atom
* SG: P4/nmm (129)
* V: 87.2 Å³/f.u.
* electronic total energy: -8.37 eV/atom

Cell lengths 4.2155, 4.2155, 9.8151 Å; angles 90.00, 90.00, 90.00 degrees
Last column: nearest neighbours and their distance in Å.
Sites, in units of the cell vectors:
Th  0.2500  0.2500  0.1118  4 N 2.38
Th  0.7500  0.7500  0.8882  4 N 2.38
Pa  0.2500  0.7500  0.5000  4 Ge 2.95, 4 Pa 2.98
Pa  0.7500  0.2500  0.5000  4 Ge 2.95, 4 Pa 2.98
Ge  0.2500  0.2500  0.7101  4 Pa 2.95
Ge  0.7500  0.7500  0.2899  4 Pa 2.95
N  0.2500  0.7500  0.0000  4 Th 2.38
N  0.7500  0.2500  0.0000  4 Th 2.38

---

[4]
DFT (GGA-PBE) results for crystalline Pa2TiGeN6 at its relaxed geometry.

Properties
* magnetic moment: 0.00 μB per formula unit
* formation energy (no corrections): -0.98 eV/atom
* SG: P4mm (99)
* V: 132.0 Å³/f.u.
* electronic total energy: -9.12 eV/atom

Cell lengths 5.2369, 5.2369, 4.8141 Å; angles 90.00, 90.00, 90.00 degrees
Last column: nearest neighbours and their distance in Å.
Sites, in units of the cell vectors:
Pa  0.0000  0.5000  0.0000  4 N 2.25
Pa  0.5000  0.0000  0.0000  4 N 2.25
Ti  0.0000  0.0000  0.5817  5 N 1.86-2.01
Ge  0.5000  0.5000  0.5818  5 N 1.83-1.98
N  0.0000  0.0000  0.1943  1 Ti 1.86
N  0.2524  0.2524  0.7340  1 Ge 1.98, 1 Ti 2.01
N  0.2524  0.7476  0.7340  1 Ge 1.98, 1 Ti 2.01
N  0.5000  0.5000  0.2006  1 Ge 1.83
N  0.7476  0.2524  0.7340  1 Ge 1.98, 1 Ti 2.01
N  0.7476  0.7476  0.7340  1 Ge 1.98, 1 Ti 2.01

---

[5]
DFT (GGA-PBE) results for crystalline Pa2TiGeN5 at its relaxed geometry.

Properties
* magnetic moment: 0.00 μB per formula unit
* formation energy (no corrections): -1.10 eV/atom
* SG: Cmc2_1 (36)
* V: 108.9 Å³/f.u.
* electronic total energy: -9.23 eV/atom

Cell lengths 7.0418, 7.0418, 9.8438 Å; angles 90.00, 90.00, 153.50 degrees
Last column: nearest neighbours and their distance in Å.
Sites, in units of the cell vectors:
Pa  0.1190  0.8810  0.5000  8 N 2.35-2.61
Pa  0.1418  0.8582  0.1193  7 N 2.36-2.57
Pa  0.8582  0.1418  0.6193  7 N 2.36-2.57
Pa  0.8810  0.1190  0.0000  8 N 2.35-2.61
Ti  0.2137  0.7863  0.8269  5 N 2.01-2.17
Ti  0.7863  0.2137  0.3269  5 N 2.01-2.17
Ge  0.4549  0.5451  0.2723  4 N 1.85-2.04
Ge  0.5451  0.4549  0.7723  4 N 1.85-2.04
N  0.0478  0.9522  0.8717  2 Ge 1.89
N  0.2891  0.7109  0.4737  2 Ti 2.17, 3 Pa 2.35-2.36
N  0.3193  0.6807  0.1862  1 Ge 2.04, 2 Ti 2.17
N  0.3607  0.6393  0.8222  1 Ti 2.01
N  0.4923  0.5077  0.5990  1 Ge 1.85
N  0.5077  0.4923  0.0990  1 Ge 1.85
N  0.6393  0.3607  0.3222  1 Ti 2.01
N  0.6807  0.3193  0.6862  1 Ge 2.04, 2 Ti 2.17
N  0.7109  0.2891  0.9737  2 Ti 2.17, 3 Pa 2.35-2.36
N  0.9522  0.0478  0.3717  2 Ge 1.89

---

[6]
DFT (GGA-PBE) results for crystalline TmPa2GeN5 at its relaxed geometry.

Properties
* magnetic moment: 0.72 μB per formula unit
* formation energy (no corrections): -1.12 eV/atom
* SG: Cmc2_1 (36)
* V: 119.9 Å³/f.u.
* electronic total energy: -8.86 eV/atom

Cell lengths 7.1083, 7.1083, 10.4111 Å; angles 90.00, 90.00, 152.88 degrees
Last column: nearest neighbours and their distance in Å.
Sites, in units of the cell vectors:
Tm  0.2048  0.7952  0.5000  6 N 2.23-2.36
Tm  0.7952  0.2048  0.0000  6 N 2.23-2.36
Pa  0.1263  0.8737  0.1974  5 N 2.32-2.51
Pa  0.1400  0.8600  0.7923  5 N 2.31-2.47
Pa  0.8600  0.1400  0.2923  5 N 2.31-2.47
Pa  0.8737  0.1263  0.6974  5 N 2.32-2.51
Ge  0.4995  0.5005  0.9814  4 N 1.90-1.94
Ge  0.5005  0.4995  0.4814  4 N 1.90-1.94
N  0.0410  0.9590  0.5602  2 Ge 1.94
N  0.2915  0.7085  0.1602  3 Pa 2.32-2.36, 2 Tm 2.36
N  0.3027  0.6973  0.8422  3 Pa 2.31-2.45, 2 Tm 2.34
N  0.3654  0.6346  0.5172  1 Ge 1.90
N  0.4913  0.5087  0.2986  1 Ge 1.91
N  0.5087  0.4913  0.7986  1 Ge 1.91
N  0.6346  0.3654  0.0172  1 Ge 1.90
N  0.6973  0.3027  0.3422  3 Pa 2.31-2.45, 2 Tm 2.34
N  0.7085  0.2915  0.6602  3 Pa 2.32-2.36, 2 Tm 2.36
N  0.9590  0.0410  0.0602  2 Ge 1.94

---

[7]
DFT (GGA-PBE) results for crystalline Pa2VGeN5 at its relaxed geometry.

Properties
* magnetic moment: 1.55 μB per formula unit
* formation energy (no corrections): -0.97 eV/atom
* SG: Cmc2_1 (36)
* V: 106.9 Å³/f.u.
* electronic total energy: -9.24 eV/atom

Cell lengths 7.0133, 7.0133, 9.7119 Å; angles 90.00, 90.00, 153.41 degrees
Last column: nearest neighbours and their distance in Å.
Sites, in units of the cell vectors:
Pa  0.1200  0.8800  0.5000  5 N 2.30-2.55
Pa  0.1429  0.8571  0.1217  7 N 2.36-2.53
Pa  0.8571  0.1429  0.6217  7 N 2.36-2.53
Pa  0.8800  0.1200  0.0000  5 N 2.30-2.55
V  0.2152  0.7848  0.8283  6 N 2.04-2.26
V  0.7848  0.2152  0.3283  6 N 2.04-2.26
Ge  0.4517  0.5483  0.2746  4 N 1.85-2.05
Ge  0.5483  0.4517  0.7746  4 N 1.85-2.05
N  0.0529  0.9471  0.8742  2 Ge 1.88
N  0.2874  0.7126  0.4739  2 V 2.15, 3 Pa 2.30-2.36
N  0.3156  0.6844  0.1864  1 Ge 2.05, 2 V 2.16
N  0.3646  0.6354  0.8222  1 V 2.04
N  0.4942  0.5058  0.5995  1 Ge 1.85
N  0.5058  0.4942  0.0995  1 Ge 1.85
N  0.6354  0.3646  0.3222  1 V 2.04
N  0.6844  0.3156  0.6864  1 Ge 2.05, 2 V 2.16
N  0.7126  0.2874  0.9739  2 V 2.15, 3 Pa 2.30-2.36
N  0.9471  0.0529  0.3742  2 Ge 1.88

---

[8]
DFT (GGA-PBE) results for crystalline Pa2ZnGeN5 at its relaxed geometry.

Properties
* magnetic moment: 0.00 μB per formula unit
* formation energy (no corrections): -0.77 eV/atom
* SG: Cmc2_1 (36)
* V: 109.5 Å³/f.u.
* electronic total energy: -8.16 eV/atom

Cell lengths 7.0584, 7.0584, 9.6652 Å; angles 90.00, 90.00, 152.96 degrees
Last column: nearest neighbours and their distance in Å.
Sites, in units of the cell vectors:
Pa  0.1203  0.8797  0.5000  6 N 2.31-2.58
Pa  0.1382  0.8618  0.1238  7 N 2.28-2.55
Pa  0.8618  0.1382  0.6238  7 N 2.28-2.55
Pa  0.8797  0.1203  0.0000  6 N 2.31-2.58
Zn  0.2187  0.7813  0.8248  3 N 2.02-2.18
Zn  0.7813  0.2187  0.3248  3 N 2.02-2.18
Ge  0.4471  0.5529  0.2765  4 N 1.88-1.96
Ge  0.5529  0.4471  0.7765  4 N 1.88-1.96
N  0.0460  0.9540  0.8753  2 Ge 1.91
N  0.2884  0.7116  0.4978  3 Pa 2.28-2.31, 2 Zn 2.35
N  0.3188  0.6812  0.1868  1 Ge 1.96, 2 Zn 2.18
N  0.3656  0.6344  0.8233  1 Zn 2.02
N  0.4952  0.5048  0.6002  1 Ge 1.88
N  0.5048  0.4952  0.1002  1 Ge 1.88
N  0.6344  0.3656  0.3233  1 Zn 2.02
N  0.6812  0.3188  0.6868  1 Ge 1.96, 2 Zn 2.18
N  0.7116  0.2884  0.9978  3 Pa 2.28-2.31, 2 Zn 2.35
N  0.9540  0.0460  0.3753  2 Ge 1.91

---

[9]
DFT (GGA-PBE) results for crystalline ZrPa2GeN5 at its relaxed geometry.

Properties
* magnetic moment: 0.00 μB per formula unit
* formation energy (no corrections): -1.10 eV/atom
* SG: Cmc2_1 (36)
* V: 116.2 Å³/f.u.
* electronic total energy: -9.30 eV/atom

Cell lengths 7.1637, 7.1637, 10.1938 Å; angles 90.00, 90.00, 153.62 degrees
Last column: nearest neighbours and their distance in Å.
Sites, in units of the cell vectors:
Zr  0.2143  0.7857  0.5000  6 N 2.18-2.37
Zr  0.7857  0.2143  0.0000  6 N 2.18-2.37
Pa  0.1248  0.8752  0.2023  7 N 2.39-2.59
Pa  0.1381  0.8619  0.7885  5 N 2.34-2.48
Pa  0.8619  0.1381  0.2885  5 N 2.34-2.48
Pa  0.8752  0.1248  0.7023  7 N 2.39-2.59
Ge  0.4951  0.5049  0.9755  4 N 1.90-1.91
Ge  0.5049  0.4951  0.4755  4 N 1.90-1.91
N  0.0490  0.9510  0.5517  2 Ge 1.91
N  0.2925  0.7075  0.1543  2 Zr 2.27, 3 Pa 2.34-2.39
N  0.3070  0.6930  0.8493  2 Zr 2.26, 3 Pa 2.41-2.44
N  0.3705  0.6295  0.5123  1 Ge 1.91
N  0.4958  0.5042  0.2892  1 Ge 1.90
N  0.5042  0.4958  0.7892  1 Ge 1.90
N  0.6295  0.3705  0.0123  1 Ge 1.91
N  0.6930  0.3070  0.3493  2 Zr 2.26, 3 Pa 2.41-2.44
N  0.7075  0.2925  0.6543  2 Zr 2.27, 3 Pa 2.34-2.39
N  0.9510  0.0490  0.0517  2 Ge 1.91

---

[10]
DFT (GGA-PBE) results for crystalline Ge3PbN at its relaxed geometry.

Properties
* energy above the lowest structure with this stoichiometry: 0 meV per atom
* magnetic moment: 0.00 μB per formula unit
* formation energy (no corrections): 0.60 eV/atom
* SG: Pm-3m (221)
* V: 95.9 Å³/f.u.
* electronic total energy: -4.58 eV/atom

Cell lengths 4.5766, 4.5766, 4.5766 Å; angles 90.00, 90.00, 90.00 degrees
Last column: nearest neighbours and their distance in Å.
Sites, in units of the cell vectors:
Ge  0.0000  0.0000  0.5000  2 N 2.29
Ge  0.0000  0.5000  0.0000  2 N 2.29
Ge  0.5000  0.0000  0.0000  2 N 2.29
Pb  0.5000  0.5000  0.5000  12 Ge 3.24
N  0.0000  0.0000  0.0000  6 Ge 2.29

---

[11]
DFT (GGA-PBE) results for crystalline Ge2Pb5N6 at its relaxed geometry.

Properties
* magnetic moment: 0.00 μB per formula unit
* formation energy (no corrections): 0.39 eV/atom
* SG: C2/c (15)
* V: 252.1 Å³/f.u.
* electronic total energy: -5.59 eV/atom

Cell lengths 5.9471, 5.9471, 14.8569 Å; angles 94.91, 94.91, 74.85 degrees
Last column: nearest neighbours and their distance in Å.
Sites, in units of the cell vectors:
Ge  0.0495  0.4201  0.4109  4 N 1.82-1.95
Ge  0.4201  0.0495  0.9109  4 N 1.82-1.95
Ge  0.5799  0.9505  0.0891  4 N 1.82-1.95
Ge  0.9505  0.5799  0.5891  4 N 1.82-1.95
Pb  0.0808  0.1927  0.1876  3 N 2.30-2.34
Pb  0.1927  0.0808  0.6876  3 N 2.30-2.34
Pb  0.2087  0.6557  0.0283  3 N 2.37-2.55
Pb  0.3443  0.7913  0.4717  3 N 2.37-2.55
Pb  0.4528  0.5472  0.2500  2 N 2.31
Pb  0.5472  0.4528  0.7500  2 N 2.31
Pb  0.6557  0.2087  0.5283  3 N 2.37-2.55
Pb  0.7913  0.3443  0.9717  3 N 2.37-2.55
Pb  0.8073  0.9192  0.3124  3 N 2.30-2.34
Pb  0.9192  0.8073  0.8124  3 N 2.30-2.34
N  0.0636  0.1497  0.3418  1 Ge 1.82
N  0.1497  0.0636  0.8418  1 Ge 1.82
N  0.1507  0.6337  0.3458  1 Ge 1.90
N  0.2325  0.4495  0.5248  2 Ge 1.95
N  0.3663  0.8493  0.1542  1 Ge 1.90
N  0.4495  0.2325  0.0248  2 Ge 1.95
N  0.5505  0.7675  0.9752  2 Ge 1.95
N  0.6337  0.1507  0.8458  1 Ge 1.90
N  0.7675  0.5505  0.4752  2 Ge 1.95
N  0.8493  0.3663  0.6542  1 Ge 1.90
N  0.8503  0.9364  0.1582  1 Ge 1.82
N  0.9364  0.8503  0.6582  1 Ge 1.82

---

[12]
DFT (GGA-PBE) results for crystalline GePbN2 at its relaxed geometry.

Properties
* energy above the lowest structure with this stoichiometry: 341 meV per atom
* magnetic moment: 0.00 μB per formula unit
* formation energy (no corrections): 0.60 eV/atom
* SG: R-3m (166)
* V: 56.6 Å³/f.u.
* electronic total energy: -5.65 eV/atom

Cell lengths 6.8351, 6.8351, 6.8351 Å; angles 26.63, 26.63, 26.63 degrees
Last column: nearest neighbours and their distance in Å.
Sites, in units of the cell vectors:
Ge  0.0000  0.0000  0.0000  6 N 2.06
Pb  0.5000  0.5000  0.5000  2 N 2.32
N  0.3827  0.3827  0.3827  3 Ge 2.06
N  0.6173  0.6173  0.6173  3 Ge 2.06